The following is a DFT calculation (PBE) of an optimized crystal structure of RbY2Ru.

Properties
Total magnetic moment in μB/f.u.: 0.00
Energy above the lowest structure with this stoichiometry in meV per atom: 112.9
Formation enthalpy at 0 K in eV/atom: 0.556

abc: 7.4519 7.4519 7.4519
angles: 90.00 90.00 90.00
Closest atoms and distances in Å follow each position.
Space group Fm-3m (No. 225)
One atom of each set of equivalent atoms:
1 Rb 0.0000 0.0000 0.0000 (multiplicity 4)  8 Y 3.23
2 Y 0.2500 0.2500 0.2500 (multiplicity 8)  4 Rb 3.23, 4 Ru 3.23
3 Ru 0.0000 0.0000 0.5000 (multiplicity 4)  8 Y 3.23